# 1
Compound: Cs3GaI6
Source: the Alexandria database
Functional: GGA-PBE
Structure: relaxed

Properties
E_tot in eV/atom: -2.52
E_form (uncorrected) in eV/atom: -1.03
Mass density in g/cm³: 3.84
Magnetization in μB/f.u.: 0.0

abc: 12.860 12.860 12.860
angles: 90.00 90.00 90.00
Space group Fm-3m (No. 225)
One atom of each set of equivalent atoms:
Cs: 0.000 0.000 0.000
Cs: 0.250 0.250 0.250
Ga: 0.000 0.000 0.500
I: 0.000 0.000 0.281



# 2
Compound: CsGa2I4
Source: the Alexandria database
Functional: GGA-PBE
Structure: relaxed

Properties
E_tot in eV/atom: -2.59
E_form (uncorrected) in eV/atom: -0.72
Mass density in g/cm³: 3.54
Magnetization in μB/f.u.: 0.0

abc: 9.335 9.339 10.432
angles: 104.50 113.16 106.28
Space group P1 (No. 1)
One atom of each set of equivalent atoms:
Cs: 0.000 0.000 0.000
Cs: 0.315 0.631 0.946
Ga: 0.205 0.836 0.514
Ga: 0.631 0.790 0.473
Ga: 0.636 0.324 0.434
Ga: 0.682 0.340 0.974
I: 0.353 0.210 0.783
I: 0.364 0.946 0.301
I: 0.384 0.434 0.253
I: 0.496 0.764 0.694
I: 0.742 0.201 0.164
I: 0.791 0.649 0.128
I: 0.837 0.294 0.819
I: 0.959 0.695 0.645



Q: Which formula does entry 1 have?
A: Cs3GaI6